No. 1
The following is a PBE calculation of an optimized crystal structure of HfH2RhI, from Alexandria via LeMat-Bulk.

The space group is P4/mmm, No. 123. Its total energy is -4.868 eV per atom. The value obtained for the size of the total moment is 0.00 μB/f.u.

Cell: 3.8041 3.8041 5.6350 Å, 90.00 90.00 90.00°
Last column: nearest neighbours and their distance in Å.
Positions (direct):
1 Hf 0.0000 0.0000 0.0000  4 H 1.90
2 H 0.0000 0.5000 0.0000  2 Hf 1.90
3 H 0.5000 0.0000 0.0000  2 Hf 1.90
4 Rh 0.5000 0.5000 0.5000  4 I 2.69
5 I 0.0000 0.0000 0.5000  4 Rh 2.69, 2 Hf 2.82


No. 2
The following is a PBE calculation of an optimized crystal structure of Li4Pd5Au, from Alexandria via LeMat-Bulk.

The calculation puts the formation energy at -0.3872 eV per atom. The space group is C2/m, No. 12. The value obtained for the size of the total moment is 0.00 μB/f.u.

Cell: 7.2241 7.2241 5.4491 Å, 104.97 104.97 31.94°
Last column: nearest neighbours and their distance in Å.
Positions (direct):
1 Li 0.0940 0.0940 0.3224  8 Pd 2.67-2.80, 2 Au 2.74, 2 Li 2.89
2 Li 0.3000 0.3000 0.8868  7 Pd 2.59-2.73, 1 Au 2.68, 4 Li 2.88-2.89
3 Li 0.7000 0.7000 0.1132  7 Pd 2.59-2.73, 1 Au 2.68, 4 Li 2.88-2.89
4 Li 0.9060 0.9060 0.6776  8 Pd 2.67-2.80, 2 Au 2.74, 2 Li 2.89
5 Pd 0.1084 0.1084 0.8203  6 Li 2.59-2.80, 4 Pd 2.80, 2 Au 2.82
6 Pd 0.2941 0.2941 0.3844  7 Li 2.61-2.75, 5 Pd 2.76-2.81
7 Pd 0.5000 0.5000 0.5000  4 Li 2.70, 2 Au 2.72, 6 Pd 2.76-2.80
8 Pd 0.7059 0.7059 0.6156  7 Li 2.61-2.75, 5 Pd 2.76-2.81
9 Pd 0.8916 0.8916 0.1797  6 Li 2.59-2.80, 4 Pd 2.80, 2 Au 2.82
10 Au 0.5000 0.5000 0.0000  6 Li 2.68-2.74, 6 Pd 2.72-2.82


No. 3
The following is a PBE calculation of an optimized crystal structure of Cs2NaWBr6, from Alexandria via LeMat-Bulk.

The space group is Fm-3m, No. 225. Its total energy is -3.751 eV per atom. The value obtained for the size of the total moment is 3.00 μB/f.u.

Cell: 7.8964 7.8964 7.8964 Å, 60.00 60.00 60.00°
Last column: nearest neighbours and their distance in Å.
Positions (direct):
1 Cs 0.2500 0.2500 0.2500  12 Br 3.95
2 Cs 0.7500 0.7500 0.7500  12 Br 3.95
3 Na 0.0000 0.0000 0.0000  6 Br 2.97
4 W 0.5000 0.5000 0.5000  6 Br 2.61
5 Br 0.2659 0.2659 0.7341  1 W 2.61
6 Br 0.2659 0.7341 0.2659  1 W 2.61
7 Br 0.2659 0.7341 0.7341  1 W 2.61
8 Br 0.7341 0.2659 0.2659  1 W 2.61
9 Br 0.7341 0.2659 0.7341  1 W 2.61
10 Br 0.7341 0.7341 0.2659  1 W 2.61


Repeat the second record exactly.
The following is a PBE calculation of an optimized crystal structure of Li4Pd5Au, from Alexandria via LeMat-Bulk.

The calculation puts the formation energy at -0.3872 eV per atom. The space group is C2/m, No. 12. The value obtained for the size of the total moment is 0.00 μB/f.u.

Cell: 7.2241 7.2241 5.4491 Å, 104.97 104.97 31.94°
Last column: nearest neighbours and their distance in Å.
Positions (direct):
1 Li 0.0940 0.0940 0.3224  8 Pd 2.67-2.80, 2 Au 2.74, 2 Li 2.89
2 Li 0.3000 0.3000 0.8868  7 Pd 2.59-2.73, 1 Au 2.68, 4 Li 2.88-2.89
3 Li 0.7000 0.7000 0.1132  7 Pd 2.59-2.73, 1 Au 2.68, 4 Li 2.88-2.89
4 Li 0.9060 0.9060 0.6776  8 Pd 2.67-2.80, 2 Au 2.74, 2 Li 2.89
5 Pd 0.1084 0.1084 0.8203  6 Li 2.59-2.80, 4 Pd 2.80, 2 Au 2.82
6 Pd 0.2941 0.2941 0.3844  7 Li 2.61-2.75, 5 Pd 2.76-2.81
7 Pd 0.5000 0.5000 0.5000  4 Li 2.70, 2 Au 2.72, 6 Pd 2.76-2.80
8 Pd 0.7059 0.7059 0.6156  7 Li 2.61-2.75, 5 Pd 2.76-2.81
9 Pd 0.8916 0.8916 0.1797  6 Li 2.59-2.80, 4 Pd 2.80, 2 Au 2.82
10 Au 0.5000 0.5000 0.0000  6 Li 2.68-2.74, 6 Pd 2.72-2.82


- Look up the size of the total moment of the first one.
  0.00 μB/f.u.


- What is the size of the total moment in the third record?
  3.00 μB/f.u.


- Which value of size of the total moment does entry 2 give?
  0.00 μB/f.u.